1.
VASP calculation (PBE) on crystalline SrCaP at its relaxed geometry.

## Properties
As for the volume: 38.8 Å³ per atom. Its uncorrected energy is -3.87 eV/atom. The calculation puts the density of states at the Fermi level at 1.7 states/eV/f.u. As for the energy relative to the elements: -0.843 eV per atom.

Cell lengths 4.3302, 4.3302, 7.1653 Å; angles 90.00, 90.00, 120.00 degrees
With the nearest neighbours (Å) after each atom.
Sites, in units of the cell vectors:
Sr  0.0000  0.0000  0.0000  3 P 3.00
Ca  0.3333  0.6667  0.5780  3 P 2.85
P  0.6667  0.3333  0.7693  3 Ca 2.85, 3 Sr 3.00



2.
VASP calculation (PBE) on crystalline Hf2TiSnO at its relaxed geometry.

## Properties
As for the volume: 16.9 Å³ per atom. Its uncorrected energy is -8.41 eV/atom. The calculation puts the density of states at the Fermi level at 6.3 states/eV/f.u. The calculation puts the uncorrected formation energy at -1.056 eV/atom.

Cell lengths 4.5637, 4.5637, 4.0494 Å; angles 90.00, 90.00, 90.00 degrees
With the nearest neighbours (Å) after each atom.
Sites, in units of the cell vectors:
Hf  0.0000  0.5000  0.0000  2 O 2.28
Hf  0.5000  0.0000  0.0000  2 O 2.28
Ti  0.0000  0.0000  0.5000  2 O 2.02
Sn  0.5000  0.5000  0.5000  8 Hf 3.05, 4 Ti 3.23
O  0.0000  0.0000  0.0000  2 Ti 2.02



3.
VASP calculation (PBE) on crystalline MnAg2BiI at its relaxed geometry.

## Properties
As for the volume: 37.8 Å³ per atom. Its uncorrected energy is -3.26 eV/atom. The calculation puts the density of states at the Fermi level at 3.6 states/eV/f.u. The calculation puts the uncorrected formation energy at 0.805 eV/atom.

Cell lengths 5.3943, 5.3943, 6.5013 Å; angles 90.00, 90.00, 90.00 degrees
With the nearest neighbours (Å) after each atom.
Sites, in units of the cell vectors:
Mn  0.0000  0.0000  0.0000  4 I 3.81, 8 Ag 4.22
Ag  0.0000  0.5000  0.5000  2 Bi 2.70
Ag  0.5000  0.0000  0.5000  2 Bi 2.70
Bi  0.5000  0.5000  0.5000  4 Ag 2.70
I  0.5000  0.5000  0.0000  2 Bi 3.25



4.
VASP calculation (PBE) on crystalline TbTlGa2Cl6 at its relaxed geometry.

## Properties
As for the volume: 32.9 Å³ per atom. Its uncorrected energy is -3.82 eV/atom. The calculation puts the density of states at the Fermi level at 0.0 states/eV/f.u. The calculation puts the uncorrected formation energy at -1.408 eV/atom.

Cell lengths 7.5448, 7.5569, 7.9633 Å; angles 61.76, 61.74, 60.05 degrees
With the nearest neighbours (Å) after each atom.
Sites, in units of the cell vectors:
Tb  0.0000  0.0000  0.0000  6 Cl 2.65-2.71
Tl  0.5119  0.5115  0.4652  6 Cl 3.17-3.35
Ga  0.3120  0.3112  0.0651  6 Cl 2.98-3.10
Ga  0.8045  0.8044  0.5875  6 Cl 3.00-3.12
Cl  0.0938  0.7564  0.7950  1 Tb 2.65
Cl  0.1772  0.6308  0.2619  1 Tb 2.71, 2 Ga 2.99-3.00
Cl  0.3551  0.0940  0.7960  1 Tb 2.65
Cl  0.6299  0.9305  0.2613  1 Tb 2.71, 2 Ga 2.98-3.01
Cl  0.7556  0.3549  0.7961  1 Tb 2.65
Cl  0.9303  0.1769  0.2624  1 Tb 2.71, 2 Ga 2.99-3.00



5.
VASP calculation (PBE) on crystalline Ca3Cd2N at its relaxed geometry.

## Properties
As for the volume: 26.4 Å³ per atom. Its uncorrected energy is -3.15 eV/atom. The calculation puts the density of states at the Fermi level at 2.6 states/eV/f.u. The calculation puts the uncorrected formation energy at -0.453 eV/atom.

Cell lengths 7.4669, 7.4669, 6.5553 Å; angles 90.00, 90.00, 120.00 degrees
With the nearest neighbours (Å) after each atom.
Sites, in units of the cell vectors:
Ca  0.1388  0.2777  0.2500  2 N 2.43
Ca  0.1388  0.8612  0.2500  2 N 2.43
Ca  0.2777  0.1388  0.7500  2 N 2.43
Ca  0.7223  0.8612  0.2500  2 N 2.43
Ca  0.8612  0.1388  0.7500  2 N 2.43
Ca  0.8612  0.7223  0.7500  2 N 2.43
Cd  0.3333  0.6667  0.5435  1 Cd 2.71
Cd  0.3333  0.6667  0.9565  1 Cd 2.71
Cd  0.6667  0.3333  0.0435  1 Cd 2.71
Cd  0.6667  0.3333  0.4565  1 Cd 2.71
N  0.0000  0.0000  0.0000  6 Ca 2.43
N  0.0000  0.0000  0.5000  6 Ca 2.43



6.
VASP calculation (PBE) on crystalline SnAsPd4 at its relaxed geometry.

## Properties
As for the volume: 17.2 Å³ per atom. For the offset from the most stable computed form, the calculation gives 0.068 eV per atom. Its uncorrected energy is -5.30 eV/atom. The calculation puts the density of states at the Fermi level at 2.2 states/eV/f.u. As for the energy relative to the elements: -0.395 eV per atom.

Cell lengths 7.8478, 5.6465, 4.6616 Å; angles 90.00, 90.09, 90.00 degrees
With the nearest neighbours (Å) after each atom.
Sites, in units of the cell vectors:
Sn  0.0000  0.0000  0.0000  8 Pd 2.71-2.79
Sn  0.0000  0.5000  0.5000  8 Pd 2.71-2.79
As  0.5000  0.0000  0.5000  8 Pd 2.55-2.72
As  0.5000  0.5000  0.0000  8 Pd 2.55-2.72
Pd  0.1826  0.0925  0.5005  1 As 2.55, 3 Sn 2.71-2.79
Pd  0.1826  0.4075  0.0005  1 As 2.55, 3 Sn 2.71-2.79
Pd  0.3388  0.6047  0.5009  3 As 2.57-2.72, 1 Sn 2.72, 5 Pd 2.79-2.86
Pd  0.3388  0.8953  0.0009  3 As 2.57-2.72, 1 Sn 2.72, 5 Pd 2.79-2.86
Pd  0.6612  0.1047  0.9991  3 As 2.57-2.72, 1 Sn 2.72, 5 Pd 2.79-2.86
Pd  0.6612  0.3953  0.4991  3 As 2.57-2.72, 1 Sn 2.72, 5 Pd 2.79-2.86
Pd  0.8174  0.5925  0.9995  1 As 2.55, 3 Sn 2.71-2.79
Pd  0.8174  0.9075  0.4995  1 As 2.55, 3 Sn 2.71-2.79